Material: Nd2Tl5In
Method: DFT, PBE-GGA
State: relaxed

The structure belongs to space group Pbam (No. 55); the cell edges are 6.813, 13.628 and 4.804 Å and the angles 90.00°, 90.00° and 90.00°. The inequivalent atoms are Nd at (0.248, 0.125, 0.000), Tl at (0.000, 0.000, 0.500), Tl at (0.003, 0.749, 0.500), Tl at (0.245, 0.376, 0.000) and In at (0.000, 0.500, 0.500).

The value obtained for the calculated density is 10.61 g cm⁻³. As for the crystal system: orthorhombic. As for the formation energy from the elements: -2.63 eV/f.u. The density of states at the Fermi level is 6.9 states/eV per cell.



Material: BaPSe2
Method: DFT, PBE-GGA
State: relaxed

The structure belongs to space group R-3m (No. 166, hexagonal axes); the cell edges are 4.8373, 4.8373 and 15.7785 Å and the angles 90.00°, 90.00° and 120.00°. The inequivalent atoms are Ba at (0.0000, 0.0000, 0.0000), P at (0.0000, 0.0000, 0.5000) and Se at (0.0000, 0.0000, 0.2125).

The value obtained for the calculated density is 5.08 g cm⁻³. As for the crystal system: trigonal. The density of states at the Fermi level is 1.6 states/eV per cell. Its formation energy without anion corrections is -2.23 eV per formula unit.



Material: Be2CrAg
Method: DFT, PBE-GGA
State: relaxed

The structure belongs to space group R3m (No. 160, hexagonal axes); the cell edges are 2.6046, 2.6046 and 24.7215 Å and the angles 90.00°, 90.00° and 120.00°. The inequivalent atoms are Be at (0.0000, 0.0000, 0.0000), Be at (0.0000, 0.0000, 0.2618), Cr at (0.0000, 0.0000, 0.5179) and Ag at (0.0000, 0.0000, 0.7527).

The value obtained for the calculated density is 6.10 g cm⁻³. As for the crystal system: trigonal. As for the formation energy from the elements: 1.94 eV/f.u. The density of states at the Fermi level is 8.9 states/eV per cell.



Material: SrGa2SiAg
Method: DFT, PBE-GGA
State: relaxed

The structure belongs to space group P4/mmm (No. 123); the cell edges are 5.005, 5.005 and 4.924 Å and the angles 90.00°, 90.00° and 90.00°. The inequivalent atoms are Sr at (0.000, 0.000, 0.000), Ga at (0.000, 0.500, 0.500), Si at (0.500, 0.500, 0.500) and Ag at (0.500, 0.500, 0.000).

The value obtained for the calculated density is 4.89 g cm⁻³. As for the crystal system: tetragonal. The density of states at the Fermi level is 2.5 states/eV per cell. Its formation energy without anion corrections is 0.02 eV per formula unit.



Number 1: electronic total energy -53.5 eV/cell. Number 2: electronic total energy -49.6 eV/cell. Number 3: electronic total energy -53.9 eV/cell. Number 4: electronic total energy -16.0 eV/cell.